# 1
{"formula": "CaBPt2", "functional": "PBE", "state": "relaxed", "lattice": [[-0.1096, 1.0205, 3.1916], [-0.1351, -2.2550, 2.4772], [7.6535, -0.5385, 2.1959]], "species": ["Pt", "Ca", "B", "Pt"], "fractional_positions": [[0.8780, 0.8780, 0.3660], [0.0000, 0.0000, 0.0000], [0.5000, 0.5000, 0.5000], [0.1220, 0.1220, 0.6340]], "formation_enthalpy_0k_ev_per_atom": -0.04}



# 2
{"formula": "NbInC3", "functional": "PBE", "state": "relaxed", "lattice": [[-3.3780, 2.1064, 1.1673], [-2.3462, -3.3319, -0.7772], [0.5429, -1.2930, 3.9043]], "species": ["Nb", "C", "In", "C", "C"], "fractional_positions": [[0.5000, 0.5000, 0.5000], [0.0000, 0.5000, 0.0000], [0.0000, 0.0000, 0.0000], [0.5000, 0.0000, 0.0000], [0.0000, 0.0000, 0.5000]], "formation_enthalpy_0k_ev_per_atom": 2.96}



# 3
{"formula": "Ca2ZrGa4", "functional": "PBE", "state": "relaxed", "lattice": [[-4.1110, 2.2209, -2.2224], [1.7867, -1.3578, -4.6621], [-5.0342, -6.2683, -2.9749]], "species": ["Ga", "Zr", "Ga", "Ga", "Ca", "Ga", "Ca"], "fractional_positions": [[0.0000, 0.5000, 0.0000], [0.0000, 0.0000, 0.0000], [0.1741, 0.1741, 0.6518], [0.5000, 0.0000, 0.0000], [0.3754, 0.3754, 0.2493], [0.8259, 0.8259, 0.3482], [0.6246, 0.6246, 0.7507]], "formation_enthalpy_0k_ev_per_atom": 0.00}



# 4
{"formula": "YAlGa2Au4", "functional": "PBE", "state": "relaxed", "lattice": [[4.4761, 0.0000, 0.0000], [2.2381, 3.8764, 0.0000], [2.2381, 1.2921, 8.7810]], "species": ["Al", "Y", "Au", "Au", "Au", "Au", "Ga", "Ga"], "fractional_positions": [[0.5000, 0.5000, 0.5000], [0.0000, 0.0000, 0.0000], [0.6028, 0.6028, 0.1916], [0.1359, 0.1359, 0.5922], [0.8641, 0.8641, 0.4078], [0.3972, 0.3972, 0.8084], [0.2576, 0.2576, 0.2273], [0.7424, 0.7424, 0.7727]], "formation_enthalpy_0k_ev_per_atom": -0.48}



# 5
{"formula": "K2LaP", "functional": "PBE", "state": "relaxed", "lattice": [[3.9893, 0.0000, 0.0000], [0.0000, 3.9893, 0.0000], [0.0000, 0.0000, 11.2416]], "species": ["La", "K", "K", "P"], "fractional_positions": [[0.0000, 0.0000, 0.6115], [0.0000, 0.0000, 0.9231], [0.5000, 0.5000, 0.2819], [0.5000, 0.5000, 0.6835]], "formation_enthalpy_0k_ev_per_atom": -0.47}



# 6
{"formula": "SbOsRu2", "functional": "PBE", "state": "relaxed", "lattice": [[3.9424, 0.0000, 0.0000], [0.0000, 3.9742, 0.0000], [0.0000, 0.0000, 3.9742]], "species": ["Sb", "Ru", "Ru", "Os"], "fractional_positions": [[0.5000, 0.5000, 0.0000], [0.0000, 0.0000, 0.0000], [0.0000, 0.5000, 0.5000], [0.5000, 0.0000, 0.5000]], "formation_energy_uncorrected_ev_per_fu": 1.740}



Calculated volume per entry: 18.84 14.28 29.65 19.05 44.73 15.57 A^3/atom
E_tot per entry: -5.2290 -5.1374 -3.5221 -4.1472 -3.6005 -8.0409 eV/atom